No. 1
DFT (PBE-GGA) results for crystalline MgTlTeI2 at its relaxed geometry.

abc: 5.8095 5.8095 5.5906
angles: 90.00 90.00 90.00
Positions (direct):
I: 0.0000 0.5000 0.0000
I: 0.5000 0.0000 0.0000
Tl: 0.5000 0.5000 0.5000
Te: 0.0000 0.0000 0.5000
Mg: 0.0000 0.0000 0.0000

## Properties
- E_form (uncorrected): -0.4656 eV/atom
- Total energy: -0.184 Ry per atom


No. 2
DFT (PBE-GGA) results for crystalline MgTlTeI2 at its relaxed geometry.

abc: 5.9806 5.9806 5.9327
angles: 90.00 90.00 90.00
Positions (direct):
I: 0.0000 0.5000 0.0000
I: 0.5000 0.0000 0.0000
Tl: 0.0000 0.0000 0.0000
Te: 0.0000 0.0000 0.5000
Mg: 0.5000 0.5000 0.5000

## Properties
- E_form (uncorrected): 0.1321 eV/atom
- Total energy: -0.140 Ry per atom


No. 3
DFT (PBE-GGA) results for crystalline MgVTeI2 at its relaxed geometry.

abc: 5.5325 5.5325 5.7763
angles: 90.00 90.00 90.00
Positions (direct):
I: 0.0000 0.5000 0.0000
I: 0.5000 0.0000 0.0000
Mg: 0.0000 0.0000 0.0000
Te: 0.0000 0.0000 0.5000
V: 0.5000 0.5000 0.5000

## Properties
- E_form (uncorrected): 0.2952 eV/atom
- Total energy: -0.228 Ry per atom


no.,distance to the lowest polymorph of the same formula (meV/atom)
1,0
2,598
3,302